Here is Pm2NpCoO8 after structural relaxation from the Alexandria database. Energies are from GGA+U. Values from VASP.

Values from the calculation:
For the uncorrected energy, the calculation gives -8.14 eV/atom. The value obtained for the volume is 170.25 Å³ per cell. The value obtained for the total magnetization is 2.05 Bohr magnetons per cell.

The structure in Quantum ESPRESSO input format:
```
&SYSTEM
  ibrav = 0, nat = 12, ntyp = 4
/
ATOMIC_SPECIES
Pm 145.00 Pm.upf
Np 237.00 Np.upf
Co 58.93 Co.upf
O 16.00 O.upf
CELL_PARAMETERS angstrom
4.5311 0.0000 0.0000
0.5829 5.1913 0.0000
0.4048 0.9220 7.2378
ATOMIC_POSITIONS crystal
Pm 0.0985 0.0193 0.2348
Pm 0.9015 0.9807 0.7652
Np 0.5000 0.5000 0.5000
Co 0.5000 0.5000 0.0000
O 0.1311 0.7339 0.5240
O 0.2219 0.7838 0.9898
O 0.3617 0.3805 0.2406
O 0.3767 0.2082 0.6703
O 0.6232 0.7918 0.3297
O 0.6383 0.6195 0.7594
O 0.7781 0.2162 0.0102
O 0.8689 0.2661 0.4760
```